A relaxed structure of Ce10Ge2C3, computed with PBE.

Values from the calculation:
final energy: -6.68 eV/atom
ΔH_f (0 K): -263 meV per atom
SG: C2/m (12)

Lattice parameters (Å, degrees): 11.969 11.969 9.321 109.74 109.74 32.69
Positions (direct):
Ce (0.000, 0.500, 0.500)
Ce (0.004, 0.004, 0.700)
Ce (0.093, 0.615, 0.031)
Ce (0.101, 0.667, 0.437)
Ce (0.230, 0.770, 0.000)
Ce (0.256, 0.256, 0.177)
Ce (0.333, 0.899, 0.563)
Ce (0.372, 0.372, 0.738)
Ce (0.385, 0.907, 0.969)
Ce (0.482, 0.482, 0.300)
Ce (0.500, 0.000, 0.500)
Ce (0.518, 0.518, 0.700)
Ce (0.615, 0.093, 0.031)
Ce (0.628, 0.628, 0.262)
Ce (0.667, 0.101, 0.437)
Ce (0.744, 0.744, 0.823)
Ce (0.770, 0.230, 0.000)
Ce (0.899, 0.333, 0.563)
Ce (0.907, 0.385, 0.969)
Ce (0.996, 0.996, 0.300)
Ge (0.130, 0.130, 0.256)
Ge (0.239, 0.239, 0.808)
Ge (0.761, 0.761, 0.192)
Ge (0.870, 0.870, 0.744)
C (0.241, 0.759, 0.500)
C (0.319, 0.319, 0.447)
C (0.427, 0.427, 0.015)
C (0.573, 0.573, 0.985)
C (0.681, 0.681, 0.553)
C (0.759, 0.241, 0.500)

=====

A relaxed structure of Ca2TaSe, computed with PBE.

Values from the calculation:
uncorrected formation energy: 204.9 meV per atom
final energy: -4.63 eV/atom
SG: Immm (71)

Lattice parameters (Å, degrees): 6.234 6.234 6.234 147.53 131.47 59.61
Positions (direct):
Ca (0.207, 0.207, 0.000)
Ca (0.793, 0.793, 0.000)
Ta (0.500, 0.000, 0.500)
Se (0.000, 0.500, 0.500)

=====

A relaxed structure of AcPm4Y4, computed with PBE.

Values from the calculation:
final energy: -5.41 eV/atom
ΔH_f (0 K): 28 meV per atom
SG: I4/mmm (139)

Lattice parameters (Å, degrees): 8.170 8.170 8.170 95.71 95.71 143.23
Positions (direct):
Ac (0.000, 0.000, 0.000)
Pm (0.000, 0.335, 0.335)
Pm (0.000, 0.665, 0.665)
Pm (0.335, 0.000, 0.335)
Pm (0.665, 0.000, 0.665)
Y (0.330, 0.330, 0.661)
Y (0.330, 0.670, 0.000)
Y (0.670, 0.330, 0.000)
Y (0.670, 0.670, 0.339)

=====

A relaxed structure of FeMo8, computed with PBE.

Values from the calculation:
final energy: -10.27 eV/atom
ΔH_f (0 K): 302 meV per atom
SG: I4/mmm (139)

Lattice parameters (Å, degrees): 6.065 6.065 6.065 97.66 97.66 137.19
Positions (direct):
Fe (0.000, 0.000, 0.000)
Mo (0.000, 0.324, 0.324)
Mo (0.000, 0.676, 0.676)
Mo (0.324, 0.000, 0.324)
Mo (0.338, 0.338, 0.676)
Mo (0.338, 0.662, 0.000)
Mo (0.662, 0.338, 0.000)
Mo (0.662, 0.662, 0.324)
Mo (0.676, 0.000, 0.676)

=====

A relaxed structure of ZnAsCl2, computed with PBE.

Values from the calculation:
uncorrected formation energy: 98.5 meV per atom
final energy: -2.31 eV/atom
SG: I-4m2 (119)

Lattice parameters (Å, degrees): 7.000 7.000 7.000 149.04 149.04 44.36
Positions (direct):
Zn (0.000, 0.000, 0.000)
As (0.250, 0.750, 0.500)
Cl (0.500, 0.500, 0.000)
Cl (0.750, 0.250, 0.500)

=====

A relaxed structure of CrIn2Ru, computed with PBE.

Values from the calculation:
final energy: -5.95 eV/atom
ΔH_f (0 K): 146 meV per atom
SG: Fm-3m (225)

Lattice parameters (Å, degrees): 4.608 4.608 4.608 60.00 60.00 60.00
Positions (direct):
Cr (0.000, 0.000, 0.000)
In (0.250, 0.250, 0.250)
In (0.750, 0.750, 0.750)
Ru (0.500, 0.500, 0.500)

=====

A relaxed structure of CsYTe2Au, computed with PBE.

Values from the calculation:
uncorrected formation energy: -890.4 meV per atom
final energy: -4.27 eV/atom
SG: P2/c (13)

Lattice parameters (Å, degrees): 9.139 4.875 8.625 90.00 95.62 90.00
Positions (direct):
Cs (0.000, 0.114, 0.250)
Cs (0.000, 0.886, 0.750)
Y (0.500, 0.497, 0.750)
Y (0.500, 0.503, 0.250)
Te (0.271, 0.368, 0.977)
Te (0.271, 0.632, 0.477)
Te (0.729, 0.368, 0.523)
Te (0.729, 0.632, 0.023)
Au (0.500, 0.000, 0.000)
Au (0.500, 0.000, 0.500)

=====

A relaxed structure of AlCr2Cd, computed with PBE.

Values from the calculation:
final energy: -5.85 eV/atom
ΔH_f (0 K): 126 meV per atom
SG: P4mm (99)

Lattice parameters (Å, degrees): 3.019 3.019 6.749 90.00 90.00 90.00
Positions (direct):
Al (0.000, 0.000, 0.000)
Cr (0.000, 0.000, 0.600)
Cr (0.500, 0.500, 0.777)
Cd (0.500, 0.500, 0.311)

=====

A relaxed structure of LaV2Hg, computed with PBE.

Values from the calculation:
final energy: -5.27 eV/atom
ΔH_f (0 K): 597 meV per atom
SG: I4_1/amd (141)

Lattice parameters (Å, degrees): 10.497 10.497 10.497 155.49 155.49 34.93
Positions (direct):
La (0.375, 0.625, 0.750)
La (0.625, 0.375, 0.250)
V (0.000, 0.000, 0.000)
V (0.000, 0.000, 0.500)
V (0.000, 0.500, 0.000)
V (0.500, 0.000, 0.500)
Hg (0.125, 0.875, 0.250)
Hg (0.875, 0.125, 0.750)

=====

A relaxed structure of LaDy2In3, computed with PBE.

Values from the calculation:
final energy: -4.21 eV/atom
ΔH_f (0 K): -489 meV per atom
SG: P4/mmm (123)

Lattice parameters (Å, degrees): 3.790 3.790 11.668 90.00 90.00 90.00
Positions (direct):
La (0.000, 0.000, 0.000)
Dy (0.000, 0.000, 0.341)
Dy (0.000, 0.000, 0.659)
In (0.500, 0.500, 0.183)
In (0.500, 0.500, 0.500)
In (0.500, 0.500, 0.817)

=====

A relaxed structure of NaAsPdBr2, computed with PBE.

Values from the calculation:
uncorrected formation energy: 559.0 meV per atom
final energy: -2.34 eV/atom
SG: P4/mmm (123)

Lattice parameters (Å, degrees): 5.251 5.251 5.493 90.00 90.00 90.00
Positions (direct):
Na (0.000, 0.000, 0.000)
As (0.000, 0.000, 0.500)
Pd (0.500, 0.500, 0.500)
Br (0.000, 0.500, 0.000)
Br (0.500, 0.000, 0.000)

=====

A relaxed structure of PrNd2Ni2, computed with PBE.

Values from the calculation:
final energy: -5.31 eV/atom
ΔH_f (0 K): -135 meV per atom
SG: C2/m (12)

Lattice parameters (Å, degrees): 6.131 6.131 5.746 103.97 103.97 37.50
Positions (direct):
Pr (0.000, 0.000, 0.000)
Nd (0.351, 0.351, 0.404)
Nd (0.649, 0.649, 0.596)
Ni (0.281, 0.281, 0.893)
Ni (0.719, 0.719, 0.107)